# KLi2Co, optimized geometry, DFT PBE
# Crystal system   orthorhombic
# Space-group type   Imm2
# Energy above the most stable polymorph in this dataset   37 meV per atom
# Total magnetization   1.336 μB/f.u.
# DFT total energy   -9.79 eV for the cell shown
# ΔE_f   0.56 eV/atom
data_KLi2Co
_chemical_formula_sum 'K1 Li2 Co1'
_cell_length_a 8.361
_cell_length_b 8.361
_cell_length_c 8.361
_cell_angle_alpha 160.45
_cell_angle_beta 149.05
_cell_angle_gamma 36.87
_symmetry_space_group_name_H-M 'P 1'
_symmetry_Int_Tables_number 1
_symmetry_space_group_name_Hall 'P 1'
loop_
_atom_site_label
_atom_site_type_symbol
_atom_site_fract_x
_atom_site_fract_y
_atom_site_fract_z
_atom_site_occupancy
Co1 Co 0.490 0.490 0.000 1
K1 K 0.677 0.177 0.500 1
Li1 Li 0.976 0.976 0.000 1
Li2 Li 0.357 0.857 0.500 1